LiV2Zn2Si2O10 | PBE with a Hubbard U | relaxed

* total moment: 3.000 μB/f.u.
* energy above the most stable polymorph in this dataset: 0.002 eV per atom

```
data_LiV2Zn2Si2O10
_chemical_formula_sum 'Li1 V2 Zn2 Si2 O10'
_cell_length_a 5.452
_cell_length_b 5.490
_cell_length_c 7.371
_cell_angle_alpha 108.60
_cell_angle_beta 108.94
_cell_angle_gamma 93.93
_space_group_name_H-M_alt 'P 1'
_space_group_IT_number 1
loop_
_space_group_symop_operation_xyz
'x,y,z'
loop_
_atom_site_label
_atom_site_type_symbol
_atom_site_fract_x
_atom_site_fract_y
_atom_site_fract_z
_atom_site_occupancy
Li1 Li 0.000 0.000 0.000 1
V1 V 0.581 0.870 0.600 1
V2 V 0.582 0.875 0.106 1
Zn1 Zn 0.389 0.287 0.374 1
Zn2 Zn 0.808 0.469 0.861 1
Si1 Si 0.263 0.269 0.871 1
Si2 Si 0.921 0.495 0.338 1
O1 O 0.242 0.603 0.472 1
O2 O 0.259 0.584 0.956 1
O3 O 0.356 0.153 0.061 1
O4 O 0.441 0.191 0.728 1
O5 O 0.519 0.963 0.374 1
O6 O 0.664 0.786 0.840 1
O7 O 0.740 0.560 0.483 1
O8 O 0.819 0.615 0.156 1
O9 O 0.908 0.176 0.235 1
O10 O 0.941 0.140 0.756 1
```